Record 1
ZrTe2 | GGA-PBE | relaxed

Results
The value obtained for the density of states at the Fermi level is 0.27 states/eV/atom. The calculation puts the uncorrected formation energy at -204 kJ/mol of formula units.

```
data_ZrTe2
_cell_length_a 10.4399
_cell_length_b 3.8939
_cell_length_c 8.5558
_cell_angle_alpha 90.00
_cell_angle_beta 98.58
_cell_angle_gamma 90.00
_space_group_name_H-M_alt 'C 1 m 1'
_space_group_IT_number 8
loop_
_space_group_symop_operation_xyz
'x,y,z'
'x,-y,z'
'x+1/2,y+1/2,z'
'x+1/2,-y+1/2,z'
loop_
_atom_site_label
_atom_site_fract_x
_atom_site_fract_y
_atom_site_fract_z
Zr1 0.0000 0.0000 0.0000
Zr2 0.2460 0.5000 0.2924
Te1 0.0402 0.0000 0.3378
Te2 0.0496 0.5000 0.7598
Te3 0.2872 0.0000 0.0362
Te4 0.3026 0.0000 0.5587
```

Record 2
MnRe | GGA-PBE | relaxed

Results
The value obtained for the density of states at the Fermi level is 1.35 states/eV/atom.

```
data_MnRe
_cell_length_a 3.0175
_cell_length_b 4.1886
_cell_length_c 8.5179
_cell_angle_alpha 90.00
_cell_angle_beta 90.00
_cell_angle_gamma 90.00
_space_group_name_H-M_alt 'I m m a'
_space_group_IT_number 74
_space_group_name_Hall '-I 2b 2'
loop_
_atom_site_label
_atom_site_fract_x
_atom_site_fract_y
_atom_site_fract_z
Mn1 0.0000 0.2500 0.1297
Re1 0.0000 0.2500 0.6212
```

Record 3
BaSmTe3Au | GGA-PBE | relaxed

Results
The value obtained for the density of states at the Fermi level is 0.00 states/eV/atom. The calculation puts the uncorrected formation energy at -715 kJ/mol of formula units.

```
data_BaSmTe3Au
_cell_length_a 9.2682
_cell_length_b 4.5321
_cell_length_c 10.2465
_cell_angle_alpha 90.00
_cell_angle_beta 104.98
_cell_angle_gamma 90.00
_space_group_name_H-M_alt 'P 1 21/m 1'
_space_group_IT_number 11
loop_
_space_group_symop_operation_xyz
'x,y,z'
'-x,-y,-z'
'-x,y+1/2,-z'
'x,-y+1/2,z'
loop_
_atom_site_label
_atom_site_fract_x
_atom_site_fract_y
_atom_site_fract_z
Ba1 0.1988 0.2500 0.2550
Sm1 0.3185 0.7500 0.8361
Te1 0.0942 0.2500 0.8695
Te2 0.2451 0.7500 0.5244
Te3 0.4419 0.7500 0.1580
Au1 0.0912 0.2500 0.5933
```

Record 4
Nd4IrRuI2 | GGA-PBE | relaxed

Results
The value obtained for the density of states at the Fermi level is 0.57 states/eV/atom. The calculation puts the uncorrected formation energy at -610 kJ/mol of formula units.

```
data_Nd4IrRuI2
_cell_length_a 7.2493
_cell_length_b 4.1840
_cell_length_c 8.4986
_cell_angle_alpha 90.00
_cell_angle_beta 106.50
_cell_angle_gamma 90.00
_space_group_name_H-M_alt 'P 1 2/m 1'
_space_group_IT_number 10
loop_
_space_group_symop_operation_xyz
'x,y,z'
'-x,-y,-z'
'-x,y,-z'
'x,-y,z'
loop_
_atom_site_label
_atom_site_fract_x
_atom_site_fract_y
_atom_site_fract_z
Nd1 0.2250 0.0000 0.1855
Nd2 0.2676 0.5000 0.8159
Ir1 0.5000 0.0000 0.0000
Ru1 0.0000 0.5000 0.0000
I1 0.0000 0.0000 0.5000
I2 0.5000 0.5000 0.5000
```

Record 5
Ac7As5S | GGA-PBE | relaxed

Results
The value obtained for the density of states at the Fermi level is 0.46 states/eV/atom. The calculation puts the uncorrected formation energy at -1708 kJ/mol of formula units.

```
data_Ac7As5S
_cell_length_a 14.8408
_cell_length_b 4.4619
_cell_length_c 26.7829
_cell_angle_alpha 90.00
_cell_angle_beta 91.51
_cell_angle_gamma 90.00
_space_group_name_H-M_alt 'C 1 m 1'
_space_group_IT_number 8
loop_
_space_group_symop_operation_xyz
'x,y,z'
'x,-y,z'
'x+1/2,y+1/2,z'
'x+1/2,-y+1/2,z'
loop_
_atom_site_label
_atom_site_fract_x
_atom_site_fract_y
_atom_site_fract_z
Ac1 0.0000 0.0000 0.0000
Ac2 0.0051 0.0000 0.5719
Ac3 0.0468 0.5000 0.8598
Ac4 0.0557 0.5000 0.7133
Ac5 0.1733 0.0000 0.3581
Ac6 0.1828 0.0000 0.2117
Ac7 0.2238 0.5000 0.4996
Ac8 0.2296 0.5000 0.0716
Ac9 0.2736 0.0000 0.9276
Ac10 0.2852 0.0000 0.6403
Ac11 0.3130 0.5000 0.7849
Ac12 0.4164 0.5000 0.2866
Ac13 0.4437 0.0000 0.4311
Ac14 0.4560 0.0000 0.1439
As1 0.0861 0.0000 0.4608
As2 0.0927 0.0000 0.1089
As3 0.1369 0.5000 0.9627
As4 0.1428 0.5000 0.6106
As5 0.3064 0.5000 0.3877
As6 0.3216 0.5000 0.1826
As7 0.3644 0.0000 0.5357
As8 0.3648 0.0000 0.0358
As9 0.4080 0.5000 0.8889
As10 0.4226 0.5000 0.6837
S1 0.0575 0.5000 0.2577
S2 0.1721 0.0000 0.8139
```

Record 6
LiPmGdIn | GGA-PBE | relaxed

Results
The value obtained for the density of states at the Fermi level is 0.83 states/eV/atom.

```
data_LiPmGdIn
_cell_length_a 7.5817
_cell_length_b 7.5817
_cell_length_c 7.5817
_cell_angle_alpha 90.00
_cell_angle_beta 90.00
_cell_angle_gamma 90.00
_space_group_name_H-M_alt 'F -4 3 m'
_space_group_IT_number 216
_space_group_name_Hall 'F -4 2 3'
loop_
_atom_site_label
_atom_site_fract_x
_atom_site_fract_y
_atom_site_fract_z
Li1 0.0000 0.0000 0.0000
Pm1 0.2500 0.2500 0.2500
Gd1 0.2500 0.2500 0.7500
In1 0.0000 0.0000 0.5000
```

Record 7
SmHoSc3 | GGA-PBE | relaxed

Results
For the energy above the lowest structure with this stoichiometry, the calculation gives 28.0 meV per atom. The value obtained for the density of states at the Fermi level is 1.85 states/eV/atom.

```
data_SmHoSc3
_cell_length_a 14.4723
_cell_length_b 12.5562
_cell_length_c 6.2580
_cell_angle_alpha 90.00
_cell_angle_beta 103.73
_cell_angle_gamma 90.00
_space_group_name_H-M_alt 'C 1 2/c 1'
_space_group_IT_number 15
loop_
_space_group_symop_operation_xyz
'x,y,z'
'-x,-y,-z'
'-x,y,-z+1/2'
'x,-y,z+1/2'
'x+1/2,y+1/2,z'
'-x+1/2,-y+1/2,-z'
'-x+1/2,y+1/2,-z+1/2'
'x+1/2,-y+1/2,z+1/2'
loop_
_atom_site_label
_atom_site_fract_x
_atom_site_fract_y
_atom_site_fract_z
Sm1 0.1035 0.0770 0.4532
Ho1 0.0000 0.3153 0.2500
Ho2 0.0000 0.4206 0.7500
Sc1 0.1061 0.1900 0.9471
Sc2 0.1996 0.4211 0.1470
Sc3 0.2031 0.3155 0.6547
```

Record 8
AcNd2ZnN4 | GGA-PBE | relaxed

Results
The value obtained for the density of states at the Fermi level is 0.88 states/eV/atom. The calculation puts the uncorrected formation energy at -671 kJ/mol of formula units.

```
data_AcNd2ZnN4
_cell_length_a 3.6233
_cell_length_b 12.0417
_cell_length_c 12.1599
_cell_angle_alpha 90.00
_cell_angle_beta 90.00
_cell_angle_gamma 90.00
_space_group_name_H-M_alt 'C m c m'
_space_group_IT_number 63
_space_group_name_Hall '-C 2c 2'
loop_
_atom_site_label
_atom_site_fract_x
_atom_site_fract_y
_atom_site_fract_z
Ac1 0.0000 0.1042 0.2500
Nd1 0.0000 0.3687 0.0509
Zn1 0.0000 0.1625 0.7500
N1 0.0000 0.0000 0.0000
N2 0.0000 0.2688 0.6227
N3 0.0000 0.4385 0.2500
```

Record 9
Ti2InH2 | GGA-PBE | relaxed

Results
For the energy above the lowest structure with this stoichiometry, the calculation gives 0.0 meV per atom. The value obtained for the density of states at the Fermi level is 0.81 states/eV/atom.

```
data_Ti2InH2
_cell_length_a 3.5472
_cell_length_b 3.5472
_cell_length_c 9.3789
_cell_angle_alpha 90.00
_cell_angle_beta 90.00
_cell_angle_gamma 90.00
_space_group_name_H-M_alt 'I 4/m m m'
_space_group_IT_number 139
_space_group_name_Hall '-I 4 2'
loop_
_atom_site_label
_atom_site_fract_x
_atom_site_fract_y
_atom_site_fract_z
Ti1 0.0000 0.0000 0.1737
In1 0.0000 0.0000 0.5000
H1 0.0000 0.5000 0.2500
```

Record 10
Sb2OsCl | GGA-PBE | relaxed

Results
For the energy above the lowest structure with this stoichiometry, the calculation gives 71.4 meV per atom. The value obtained for the density of states at the Fermi level is 0.25 states/eV/atom. The calculation puts the uncorrected formation energy at 23 kJ/mol of formula units.

```
data_Sb2OsCl
_cell_length_a 3.2500
_cell_length_b 3.2500
_cell_length_c 8.0872
_cell_angle_alpha 90.00
_cell_angle_beta 90.00
_cell_angle_gamma 90.00
_space_group_name_H-M_alt 'P 4/m m m'
_space_group_IT_number 123
_space_group_name_Hall '-P 4 2'
loop_
_atom_site_label
_atom_site_fract_x
_atom_site_fract_y
_atom_site_fract_z
Sb1 0.0000 0.0000 0.2104
Os1 0.5000 0.5000 0.0000
Cl1 0.5000 0.5000 0.5000
```

Record 11
Li2PmInS4 | GGA-PBE | relaxed

Results
The calculation puts the uncorrected formation energy at -1009 kJ/mol of formula units.

```
data_Li2PmInS4
_cell_length_a 7.6208
_cell_length_b 7.9237
_cell_length_c 10.8833
_cell_angle_alpha 90.00
_cell_angle_beta 90.00
_cell_angle_gamma 90.00
_space_group_name_H-M_alt 'I m m a'
_space_group_IT_number 74
_space_group_name_Hall '-I 2b 2'
loop_
_atom_site_label
_atom_site_fract_x
_atom_site_fract_y
_atom_site_fract_z
Li1 0.0000 0.0000 0.0000
Li2 0.2500 0.2500 0.2500
Pm1 0.0000 0.0000 0.5000
In1 0.2500 0.2500 0.7500
S1 0.0000 0.0156 0.7583
S2 0.2422 0.2500 0.0026
```

Record 12
Tb7Dy2 | GGA-PBE | relaxed

Results
For the energy above the lowest structure with this stoichiometry, the calculation gives 23.0 meV per atom. The value obtained for the density of states at the Fermi level is 1.77 states/eV/atom.

```
data_Tb7Dy2
_cell_length_a 9.6818
_cell_length_b 9.6818
_cell_length_c 3.5208
_cell_angle_alpha 90.00
_cell_angle_beta 90.00
_cell_angle_gamma 120.00
_space_group_name_H-M_alt 'P -6 2 m'
_space_group_IT_number 189
_space_group_name_Hall 'P -6 -2'
loop_
_atom_site_label
_atom_site_fract_x
_atom_site_fract_y
_atom_site_fract_z
Tb1 0.0000 0.0000 0.0000
Tb2 0.0000 0.3611 0.0000
Tb3 0.0000 0.6960 0.5000
Dy1 0.3333 0.6667 0.5000
```

Listing V for the structures above in their given order: 343.9; 107.7; 415.8; 247.2; 1772.9; 435.8; 1104.7; 530.6; 118.0; 85.4; 657.2; 285.8 Å³/cell.
Listing energy for the structures above in their given order: -67.800; -85.667; -53.515; -46.631; -295.337; -98.344; -223.972; -220.678; -54.203; -21.086; -153.133; -41.252 eV for the cell shown.